## P
First-principles (PBE) data for crystalline CuIrOs2 at its relaxed geometry, as listed in Alexandria.

abc: 5.6475 5.6475 6.5191
angles: 64.33 64.33 90.00
Closest atoms and distances in Å follow each position.
Fractional positions:
Ir (0.7500, 0.2500, 0.5000)  4 Os 2.37
Cu (0.5000, 0.5000, 0.0000)  4 Os 2.38
Ir (0.0000, 0.0000, 0.0000)  4 Os 2.37
Cu (0.2500, 0.7500, 0.5000)  4 Os 2.38
Os (0.1239, 0.6250, 0.2500)  2 Ir 2.37, 2 Cu 2.38
Os (0.6261, 0.1250, 0.2500)  2 Ir 2.37, 2 Cu 2.38
Os (0.3750, 0.3739, 0.7500)  2 Ir 2.37, 2 Cu 2.38
Os (0.8750, 0.8761, 0.7500)  2 Ir 2.37, 2 Cu 2.38



## Q
First-principles (PBE) data for crystalline CuIrOs2 at its relaxed geometry, as listed in Alexandria.

abc: 2.7258 3.8740 5.2694
angles: 90.00 90.00 90.00
Closest atoms and distances in Å follow each position.
Fractional positions:
Os (0.0000, 0.0000, 0.0105)  4 Os 2.52-2.75, 4 Cu 2.68, 4 Ir 2.74
Cu (0.5000, 0.5000, 0.2500)  2 Ir 2.63, 8 Os 2.68, 2 Cu 2.73
Os (0.0000, 0.0000, 0.4895)  4 Os 2.52-2.75, 4 Cu 2.68, 4 Ir 2.74
Ir (0.5000, 0.5000, 0.7500)  2 Cu 2.63, 2 Ir 2.73, 8 Os 2.74



## R
First-principles (PBE) data for crystalline CuIrOs2 at its relaxed geometry, as listed in Alexandria.

abc: 2.7059 4.6829 5.3993
angles: 55.02 90.00 90.00
Closest atoms and distances in Å follow each position.
Fractional positions:
Ir (0.0000, 0.0000, 0.5000)  6 Os 2.70-2.71, 4 Cu 2.70, 2 Ir 2.71
Os (0.0000, 0.0000, 0.0000)  2 Ir 2.70, 6 Os 2.70-2.71, 4 Cu 2.71
Cu (0.5000, 0.5000, 0.5000)  6 Os 2.70-2.71, 4 Ir 2.70, 2 Cu 2.71
Os (0.5000, 0.5000, 0.0000)  2 Cu 2.70, 6 Os 2.70-2.71, 4 Ir 2.71



Which structure is the least stable? The one labeled P.



## P
First-principles (PBE) data for crystalline CuIrOs2 at its relaxed geometry, as listed in Alexandria.

abc: 4.7098 4.7098 4.7098
angles: 132.51 132.51 69.43
Closest atoms and distances in Å follow each position.
Fractional positions:
Ir (0.7500, 0.2500, 0.5000)  8 Os 2.68-2.71, 4 Cu 2.71
Os (0.0000, 0.0000, 0.0000)  4 Cu 2.68, 4 Os 2.71, 4 Ir 2.71
Os (0.2500, 0.7500, 0.5000)  4 Ir 2.68, 4 Cu 2.71, 4 Os 2.71
Cu (0.5000, 0.5000, 0.0000)  8 Os 2.68-2.71, 4 Ir 2.71



## Q
First-principles (PBE) data for crystalline CuIrOs2 at its relaxed geometry, as listed in Alexandria.

abc: 8.9400 8.9400 8.9400
angles: 17.44 17.44 17.44
Closest atoms and distances in Å follow each position.
Fractional positions:
Cu (0.2500, 0.2500, 0.2500)  6 Os 2.68, 6 Cu 2.71
Os (0.9993, 0.9993, 0.9993)  3 Cu 2.68, 6 Os 2.71, 3 Ir 2.72
Os (0.5007, 0.5007, 0.5007)  3 Cu 2.68, 6 Os 2.71, 3 Ir 2.72
Ir (0.7500, 0.7500, 0.7500)  6 Ir 2.71, 6 Os 2.72



## R
First-principles (PBE) data for crystalline CuIrOs2 at its relaxed geometry, as listed in Alexandria.

abc: 2.7438 2.7438 7.3986
angles: 90.00 90.00 90.00
Closest atoms and distances in Å follow each position.
Fractional positions:
Os (0.0000, 0.0000, 0.0025)  8 Os 2.67-2.74, 4 Ir 2.71
Ir (0.5000, 0.5000, 0.7470)  4 Cu 2.67, 4 Os 2.71, 4 Ir 2.74
Cu (0.0000, 0.0000, 0.5000)  4 Ir 2.67, 4 Os 2.68, 4 Cu 2.74
Os (0.5000, 0.5000, 0.2506)  8 Os 2.67-2.74, 4 Cu 2.68



## S
First-principles (PBE) data for crystalline CuIrOs2 at its relaxed geometry, as listed in Alexandria.

abc: 2.7074 2.7074 7.6010
angles: 90.00 90.00 90.00
Closest atoms and distances in Å follow each position.
Fractional positions:
Os (0.0000, 0.0000, 0.4965)  4 Cu 2.68, 4 Os 2.71, 4 Ir 2.72
Cu (0.5000, 0.5000, 0.2500)  8 Os 2.68, 4 Cu 2.71
Os (0.0000, 0.0000, 0.0035)  4 Cu 2.68, 4 Os 2.71, 4 Ir 2.72
Ir (0.5000, 0.5000, 0.7500)  4 Ir 2.71, 8 Os 2.72



Which structure is the least stable? The one labeled S.



## P
First-principles (PBE) data for crystalline CuIrOs2 at its relaxed geometry, as listed in Alexandria.

abc: 2.6743 2.6743 9.2285
angles: 90.00 90.00 119.29
Closest atoms and distances in Å follow each position.
Fractional positions:
Os (0.0000, 0.0000, 0.4951)  2 Cu 2.63, 6 Os 2.67-2.70, 2 Ir 2.71
Ir (0.5000, 0.5000, 0.7500)  6 Ir 2.67-2.70, 4 Os 2.71
Os (0.0000, 0.0000, 0.0049)  2 Cu 2.63, 6 Os 2.67-2.70, 2 Ir 2.71
Cu (0.5000, 0.5000, 0.2500)  4 Os 2.63, 6 Cu 2.67-2.70



## Q
First-principles (PBE) data for crystalline CuIrOs2 at its relaxed geometry, as listed in Alexandria.

abc: 8.8496 8.8496 8.8496
angles: 17.75 17.75 17.75
Closest atoms and distances in Å follow each position.
Fractional positions:
Os (0.2505, 0.2505, 0.2505)  9 Os 2.66-2.73, 3 Cu 2.70
Cu (0.4999, 0.4999, 0.4999)  3 Ir 2.67, 3 Os 2.70, 6 Cu 2.73
Ir (0.7506, 0.7506, 0.7506)  3 Cu 2.67, 3 Os 2.72, 6 Ir 2.73
Os (0.9990, 0.9990, 0.9990)  9 Os 2.66-2.73, 3 Ir 2.72



Which structure is the least stable? The one labeled P.



## P
First-principles (PBE) data for crystalline Cu3PIr at its relaxed geometry, as listed in Alexandria.

abc: 4.2112 4.2112 4.2112
angles: 90.00 90.00 90.00
Closest atoms and distances in Å follow each position.
Fractional positions:
P (0.0000, 0.0000, 0.0000)  6 Cu 2.11
Cu (0.5000, 0.0000, 0.0000)  2 P 2.11
Ir (0.5000, 0.5000, 0.5000)  12 Cu 2.98
Cu (0.0000, 0.0000, 0.5000)  2 P 2.11
Cu (0.0000, 0.5000, 0.0000)  2 P 2.11



## Q
First-principles (PBE) data for crystalline Cu3PIr at its relaxed geometry, as listed in Alexandria.

abc: 4.6159 4.6159 4.6159
angles: 90.00 90.00 90.00
Closest atoms and distances in Å follow each position.
Fractional positions:
Ir (0.0000, 0.0000, 0.0000)  6 Cu 2.31
Cu (0.5000, 0.0000, 0.0000)  2 Ir 2.31
Cu (0.0000, 0.5000, 0.0000)  2 Ir 2.31
P (0.5000, 0.5000, 0.5000)  12 Cu 3.26
Cu (0.0000, 0.0000, 0.5000)  2 Ir 2.31



Which structure is the least stable? The one labeled Q.



## P
First-principles (PBE) data for crystalline CuPIrS2 at its relaxed geometry, as listed in Alexandria.

abc: 4.4056 4.4056 4.3576
angles: 90.00 90.00 90.00
Closest atoms and distances in Å follow each position.
Fractional positions:
Ir (0.5000, 0.5000, 0.5000)  8 S 3.10, 4 P 3.12
Cu (0.0000, 0.0000, 0.0000)  2 P 2.18, 4 S 2.20
P (0.0000, 0.0000, 0.5000)  2 Cu 2.18
S (0.5000, 0.0000, 0.0000)  2 Cu 2.20
S (0.0000, 0.5000, 0.0000)  2 Cu 2.20



## Q
First-principles (PBE) data for crystalline CuPIrS2 at its relaxed geometry, as listed in Alexandria.

abc: 4.8472 4.8472 4.3816
angles: 90.00 90.00 90.00
Closest atoms and distances in Å follow each position.
Fractional positions:
Cu (0.5000, 0.5000, 0.5000)  8 S 3.27, 4 P 3.43
P (0.0000, 0.0000, 0.5000)  2 Ir 2.19
S (0.0000, 0.5000, 0.0000)  2 Ir 2.42
Ir (0.0000, 0.0000, 0.0000)  2 P 2.19, 4 S 2.42
S (0.5000, 0.0000, 0.0000)  2 Ir 2.42



Which structure is the least stable? The one labeled P.



## P
First-principles (PBE) data for crystalline PaCuIr at its relaxed geometry, as listed in Alexandria.

abc: 3.6132 3.6132 5.0462
angles: 110.98 110.98 90.00
Closest atoms and distances in Å follow each position.
Fractional positions:
Cu (0.2856, 0.2856, 0.5711)  5 Pa 2.78-3.00, 5 Ir 2.84-2.97
Pa (0.6050, 0.6050, 0.2101)  5 Cu 2.78-3.00, 5 Ir 2.85-3.08
Ir (0.9594, 0.9594, 0.9188)  5 Cu 2.84-2.97, 5 Pa 2.85-3.08



## Q
First-principles (PBE) data for crystalline PaCuIr at its relaxed geometry, as listed in Alexandria.

abc: 4.6910 5.4263 5.4263
angles: 76.14 64.39 64.39
Closest atoms and distances in Å follow each position.
Fractional positions:
Ir (0.1988, 0.3012, 0.3012)  2 Cu 2.54, 2 Pa 2.77, 1 Ir 2.84
Pa (0.5000, 0.2612, 0.7388)  2 Ir 2.77, 2 Cu 2.88
Ir (0.8012, 0.6988, 0.6988)  2 Cu 2.54, 2 Pa 2.77, 1 Ir 2.84
Pa (0.5000, 0.7388, 0.2612)  2 Ir 2.77, 2 Cu 2.88
Cu (0.8354, 0.1646, 0.1646)  1 Cu 2.35, 2 Ir 2.54
Cu (0.1646, 0.8354, 0.8354)  1 Cu 2.35, 2 Ir 2.54



Which structure is the least stable? The one labeled P.



## P
First-principles (PBE) data for crystalline PaCuIr2 at its relaxed geometry, as listed in Alexandria.

abc: 3.8707 4.1657 4.1657
angles: 90.00 90.00 90.00
Closest atoms and distances in Å follow each position.
Fractional positions:
Ir (0.0000, 0.0000, 0.5000)  4 Cu 2.84, 4 Pa 2.84, 4 Ir 2.95
Cu (0.5000, 0.5000, 0.5000)  8 Ir 2.84, 4 Pa 2.95
Ir (0.0000, 0.5000, 0.0000)  4 Cu 2.84, 4 Pa 2.84, 4 Ir 2.95
Pa (0.5000, 0.0000, 0.0000)  8 Ir 2.84, 4 Cu 2.95



## Q
First-principles (PBE) data for crystalline PaCuIr2 at its relaxed geometry, as listed in Alexandria.

abc: 4.4303 4.4303 4.9561
angles: 63.45 63.45 60.00
Closest atoms and distances in Å follow each position.
Fractional positions:
Pa (0.5000, 0.5000, 0.5000)  8 Ir 2.72-2.98
Ir (0.7135, 0.7135, 0.8596)  3 Cu 2.63, 1 Pa 2.72, 3 Ir 2.82
Cu (0.0000, 0.0000, 0.0000)  6 Ir 2.63
Ir (0.2865, 0.2865, 0.1404)  3 Cu 2.63, 1 Pa 2.72, 3 Ir 2.82



Which structure is the least stable? The one labeled Q.



## P
First-principles (PBE) data for crystalline PaCuIrRh at its relaxed geometry, as listed in Alexandria.

abc: 3.8179 4.1741 4.1834
angles: 90.00 90.00 90.00
Closest atoms and distances in Å follow each position.
Fractional positions:
Rh (0.5000, 0.5000, 0.0000)  4 Cu 2.83, 4 Pa 2.83, 4 Ir 2.95
Cu (0.0000, 0.0000, 0.0000)  4 Rh 2.83, 4 Ir 2.83, 4 Pa 2.95
Ir (0.5000, 0.0000, 0.5000)  4 Pa 2.83, 4 Cu 2.83, 4 Rh 2.95
Pa (0.0000, 0.5000, 0.5000)  4 Ir 2.83, 4 Rh 2.83, 4 Cu 2.95



## Q
First-principles (PBE) data for crystalline PaCuIrRh at its relaxed geometry, as listed in Alexandria.

abc: 4.6095 4.6095 4.6095
angles: 60.00 60.00 60.00
Closest atoms and distances in Å follow each position.
Fractional positions:
Rh (0.2500, 0.2500, 0.2500)  4 Pa 2.82, 4 Cu 2.82
Cu (0.0000, 0.0000, 0.0000)  4 Ir 2.82, 4 Rh 2.82
Pa (0.5000, 0.5000, 0.5000)  4 Rh 2.82, 4 Ir 2.82
Ir (0.7500, 0.7500, 0.7500)  4 Cu 2.82, 4 Pa 2.82



Which structure is the least stable? The one labeled Q.